The following is a PBE-GGA calculation of K2PtCl4F2 after structural relaxation, from Alexandria.

The density of states at the Fermi level is 0.0 states/eV per cell. As for the density: 3.4 g/cm3. As for the formation energy without anion corrections: -1499 meV/atom.

Structure (CIF):
```
data_K2PtCl4F2
_chemical_formula_sum 'K4 Pt2 Cl8 F4'
_cell_length_a 6.899
_cell_length_b 6.899
_cell_length_c 9.344
_cell_angle_alpha 90.00
_cell_angle_beta 90.00
_cell_angle_gamma 90.00
_symmetry_space_group_name_H-M 'I 4/m m m'
_symmetry_Int_Tables_number 139
_symmetry_space_group_name_Hall '-I 4 2'
loop_
_atom_site_label
_atom_site_type_symbol
_atom_site_fract_x
_atom_site_fract_y
_atom_site_fract_z
K1 K 0.000 0.500 0.250
Pt1 Pt 0.000 0.000 0.000
Cl1 Cl 0.239 0.239 0.000
F1 F 0.000 0.000 0.213
```